Compound: Sm7Bi2Pb2
Source: Alexandria
Functional: GGA-PBE
Structure: relaxed

```
data_Sm7Bi2Pb2
_symmetry_space_group_name_H-M 'P 1'
_symmetry_Int_Tables_number 1
_cell_length_a 7.3079
_cell_length_b 7.3836
_cell_length_c 7.3079
_cell_angle_alpha 90.00
_cell_angle_beta 103.02
_cell_angle_gamma 90.00
loop_
_symmetry_equiv_pos_as_xyz
'x,y,z'
loop_
_atom_site_label
_atom_site_type_symbol
_atom_site_fract_x
_atom_site_fract_y
_atom_site_fract_z
Sm1 Sm 0.9998 0.2823 0.5003
Sm2 Sm 0.5003 0.7177 0.9998
Sm3 Sm 0.0002 0.7177 0.4997
Sm4 Sm 0.4997 0.2823 0.0002
Sm5 Sm 0.0000 0.0000 0.0000
Sm6 Sm 0.5002 0.7349 0.4998
Sm7 Sm 0.4998 0.2651 0.5002
Bi1 Bi 0.7221 0.0000 0.2779
Bi2 Bi 0.2779 0.0000 0.7221
Pb1 Pb 0.8177 0.5000 0.8177
Pb2 Pb 0.1823 0.5000 0.1823
```

=====

Compound: NaZrIr4
Source: Alexandria
Functional: GGA-PBE
Structure: relaxed

```
data_NaZrIr4
_symmetry_space_group_name_H-M 'P 1'
_symmetry_Int_Tables_number 1
_cell_length_a 5.2477
_cell_length_b 5.2477
_cell_length_c 5.2477
_cell_angle_alpha 60.00
_cell_angle_beta 60.00
_cell_angle_gamma 60.00
loop_
_symmetry_equiv_pos_as_xyz
'x,y,z'
loop_
_atom_site_label
_atom_site_type_symbol
_atom_site_fract_x
_atom_site_fract_y
_atom_site_fract_z
Na1 Na 0.0000 0.0000 0.0000
Ir1 Ir 0.6252 0.6252 0.1244
Ir2 Ir 0.6252 0.1244 0.6252
Ir3 Ir 0.6252 0.6252 0.6252
Ir4 Ir 0.1244 0.6252 0.6252
Zr1 Zr 0.2500 0.2500 0.2500
```

=====

Number 1: ΔE_f -0.25 eV per atom, D(E_F) 1.37 states/eV/atom. Number 2: ΔE_f -0.30 eV per atom, D(E_F) 1.42 states/eV/atom.